[1]
## SrPbN3 (SCAN)

Data for SrPbN3 at its PBEsol-relaxed geometry.

Results
ΔE_f (raw) = 159.1 kJ per mole of atoms

Cell: 4.6773 4.6773 4.6773 Å, 90.00 90.00 90.00°
With the nearest neighbours (Å) after each atom.
Space group Pm-3m (No. 221)
Inequivalent atoms, fractional coordinates:
Sr 0.0000 0.0000 0.0000  6 N 2.34
Pb 0.5000 0.5000 0.5000  12 N 3.31
N 0.0000 0.0000 0.5000  2 Sr 2.34

[2]
## SrZrPb2N (SCAN)

Data for SrZrPb2N at its PBEsol-relaxed geometry.

Results
ΔE_f (raw) = 25.3 kJ per mole of atoms

Cell: 4.9959 4.9959 4.7372 Å, 90.00 90.00 90.00°
With the nearest neighbours (Å) after each atom.
Space group P4/mmm (No. 123)
Inequivalent atoms, fractional coordinates:
Sr 0.0000 0.0000 0.0000  2 N 2.37
Zr 0.5000 0.5000 0.0000  8 Pb 3.44, 4 Sr 3.53
Pb 0.0000 0.5000 0.5000  2 N 2.50
N 0.0000 0.0000 0.5000  2 Sr 2.37, 4 Pb 2.50

[3]
## TaPbN3 (SCAN)

Data for TaPbN3 at its PBEsol-relaxed geometry.

Results
ΔE_f (raw) = 7.0 kJ per mole of atoms

Cell: 4.1085 4.1085 4.1085 Å, 90.00 90.00 90.00°
With the nearest neighbours (Å) after each atom.
Space group Pm-3m (No. 221)
Inequivalent atoms, fractional coordinates:
Ta 0.0000 0.0000 0.0000  6 N 2.05
Pb 0.5000 0.5000 0.5000  12 N 2.91
N 0.0000 0.0000 0.5000  2 Ta 2.05